Computed, not measured: an optimized crystal structure of NdSmEr3Sc at the PBE level of DFT.

Cell and atoms, written as POSCAR:
```
NdSmEr3Sc
1.0
2.488 -7.456 0.000
2.488 7.456 0.000
0.000 0.000 9.954
Nd Sm Er Sc
2 2 6 2
direct
0.002 0.998 0.750
0.998 0.002 0.250
0.500 0.500 0.000
0.500 0.500 0.500
0.169 0.831 0.000
0.169 0.831 0.500
0.330 0.670 0.750
0.670 0.330 0.250
0.831 0.169 0.000
0.831 0.169 0.500
0.331 0.669 0.250
0.669 0.331 0.750
```

Properties
ΔE_f = 41 meV per atom
symmetry = Cmcm
volume = 369.4 Å³ per cell
total magnetization = 0.002 μB/atom

---

Computed, not measured: an optimized crystal structure of Dy3HgPt8 at the PBE level of DFT.

Cell and atoms, written as POSCAR:
```
Dy3HgPt8
1.0
5.432 0.000 0.000
-2.716 4.705 0.000
0.000 0.000 8.868
Dy Hg Pt
3 1 8
direct
0.000 0.000 0.000
0.000 0.000 0.385
0.333 0.667 0.833
0.333 0.667 0.477
0.005 0.503 0.177
0.329 0.165 0.684
0.497 0.503 0.177
0.497 0.995 0.177
0.667 0.333 0.430
0.667 0.333 0.933
0.835 0.165 0.684
0.835 0.671 0.684
```

Properties
ΔE_f = -910 meV per atom
symmetry = P3m1
volume = 226.6 Å³ per cell
total magnetization = 0.000 μB/atom

---

Computed, not measured: an optimized crystal structure of Zr2TcPdRh at the PBE level of DFT.

Cell and atoms, written as POSCAR:
```
Zr2TcPdRh
1.0
4.968 0.000 0.000
0.000 4.968 0.000
0.000 0.000 4.599
Zr Tc Pd Rh
2 1 1 1
direct
0.000 0.500 0.000
0.500 0.000 0.000
0.000 0.000 0.000
0.500 0.500 0.500
0.000 0.000 0.500
```

Properties
ΔE_f = 589 meV per atom
symmetry = P4/mmm
volume = 113.5 Å³ per cell
total magnetization = 0.000 μB/atom